8
Lattice="4.789 0.000 0.000 0.000 4.923 -1.015 0.000 0.057 12.715" Properties=species:S:1:pos:R:3 comment="BaBi3, relaxed, DFT GGA-PBE" magmom_total_mub_per_atom=0.000 space_group="No. 63" e_form_mev_per_atom=-412 pbc="T T T"
Ba 1.197 2.854 1.396
Ba 3.592 2.125 10.304
Bi 1.197 0.945 4.580
Bi 3.592 4.035 7.120
Bi 3.592 0.216 1.047
Bi 1.197 4.763 10.653
Bi 3.592 3.415 4.119
Bi 1.197 1.564 7.581